Compound: NaCuSi2Tc
Source: Alexandria
Functional: GGA-PBEsol
Structure: relaxed

Cell: 4.3784 4.3784 4.4694 Å, 90.00 90.00 90.00°
Last column: nearest neighbours and their distance in Å.
Atoms (fractional coordinates):
Cu: 0.0000 0.0000 0.0000  4 Si 2.19, 2 Na 2.23
Si: 0.5000 0.0000 0.0000  2 Cu 2.19
Si: 0.0000 0.5000 0.0000  2 Cu 2.19
Na: 0.0000 0.0000 0.5000  2 Cu 2.23
Tc: 0.5000 0.5000 0.5000  4 Na 3.10, 8 Si 3.13

Results
* symmetry: P4/mmm
* uncorrected formation energy: 104.5 kJ/mol of atoms
* Fermi-level density of states: 0.821 states/eV/atom

***

Compound: SrMg2Cr
Source: Alexandria
Functional: GGA-PBEsol
Structure: relaxed

Cell: 3.6612 3.6612 7.8320 Å, 90.00 90.00 90.00°
Last column: nearest neighbours and their distance in Å.
Atoms (fractional coordinates):
Sr: 0.0000 0.0000 0.5210  4 Cr 3.42, 5 Mg 3.55-3.62, 4 Sr 3.66
Mg: 0.5000 0.5000 0.1980  1 Cr 3.07, 4 Mg 3.12
Mg: 0.0000 0.0000 0.9749  4 Cr 2.91, 4 Mg 3.12
Cr: 0.5000 0.5000 0.8062  5 Mg 2.91-3.07

Results
* symmetry: P4mm
* formation enthalpy at 0 K: 0.436 eV per atom
* Fermi-level density of states: 0.656 states/eV/atom